Density functional theory data (PBE-GGA) for LaRePb2 after structural relaxation.

Lattice parameters (Å, degrees): 4.572 4.571 4.885 90.00 90.00 90.00
Positions (direct):
1 Re 0.500 0.000 0.500
2 Pb 0.500 0.500 0.000
3 Pb 0.000 0.000 0.000
4 La 0.000 0.500 0.500

Results
Space group: P4/mmm
Calculated volume in Å³ per atom: 25.52
E above lowest polymorph in meV/atom: 150
Crystal system: tetragonal
ΔH_f (0 K) in eV/atom: 0.454
Density in g/cm³: 12.03
Total energy in eV per atom: -5.744
Spin magnetization in μB per atom: 0.35